a.
## TlAg2Mo (PBE)

Data for a relaxed structure of TlAg2Mo.

- Symmetry: I4/mmm
- Crystal system: tetragonal
- Calculated volume: 19.07 Å³ per atom

a = 5.352 Å, b = 5.352 Å, c = 5.352 Å
α = 134.69°, β = 134.69°, γ = 66.02°
Sites, in units of the cell vectors:
Tl (0.000, 0.000, 0.000)
Ag (0.250, 0.750, 0.500)
Ag (0.750, 0.250, 0.500)
Mo (0.500, 0.500, 0.000)

---

b.
## TlAg2Mo (PBE)

Data for a relaxed structure of TlAg2Mo.

- Symmetry: Cmm2
- Crystal system: orthorhombic
- Calculated volume: 18.90 Å³ per atom

a = 2.897 Å, b = 2.897 Å, c = 9.005 Å
α = 90.00°, β = 90.00°, γ = 90.26°
Sites, in units of the cell vectors:
Tl (0.000, 0.000, 0.000)
Ag (0.000, 0.000, 0.514)
Ag (0.500, 0.500, 0.276)
Mo (0.500, 0.500, 0.743)

---

c.
## TlAg2Mo (PBE)

Data for a relaxed structure of TlAg2Mo.

- Symmetry: C2/m
- Crystal system: monoclinic
- Calculated volume: 18.91 Å³ per atom

a = 5.891 Å, b = 5.891 Å, c = 2.832 Å
α = 102.29°, β = 102.29°, γ = 121.33°
Sites, in units of the cell vectors:
Tl (0.000, 0.000, 0.000)
Ag (0.000, 0.500, 0.500)
Ag (0.500, 0.000, 0.500)
Mo (0.500, 0.500, 0.000)

---

d.
## TlAg2Mo (PBE)

Data for a relaxed structure of TlAg2Mo.

- Symmetry: Pmm2
- Crystal system: orthorhombic
- Calculated volume: 18.94 Å³ per atom

a = 2.893 Å, b = 4.220 Å, c = 6.206 Å
α = 90.00°, β = 90.00°, γ = 90.00°
Sites, in units of the cell vectors:
Tl (0.000, 0.000, 0.000)
Ag (0.000, 0.000, 0.514)
Ag (0.500, 0.500, 0.283)
Mo (0.500, 0.500, 0.755)

---

Stability check: which of them is most stable? b.

---

a.
## TlAg2Mo (PBE)

Data for a relaxed structure of TlAg2Mo.

- Symmetry: P2/m
- Crystal system: monoclinic
- Calculated volume: 19.00 Å³ per atom

a = 2.903 Å, b = 5.015 Å, c = 5.225 Å
α = 90.00°, β = 92.71°, γ = 90.00°
Sites, in units of the cell vectors:
Tl (0.000, 0.000, 0.000)
Ag (0.222, 0.500, 0.736)
Ag (0.778, 0.500, 0.264)
Mo (0.500, 0.000, 0.500)

---

b.
## TlAg2Mo (PBE)

Data for a relaxed structure of TlAg2Mo.

- Symmetry: P4/mmm
- Crystal system: tetragonal
- Calculated volume: 18.69 Å³ per atom

a = 4.092 Å, b = 4.092 Å, c = 4.463 Å
α = 90.00°, β = 90.00°, γ = 90.00°
Sites, in units of the cell vectors:
Tl (0.000, 0.000, 0.000)
Ag (0.000, 0.500, 0.500)
Ag (0.500, 0.000, 0.500)
Mo (0.500, 0.500, 0.000)

---

c.
## TlAg2Mo (PBE)

Data for a relaxed structure of TlAg2Mo.

- Symmetry: I-42d
- Crystal system: tetragonal
- Calculated volume: 21.45 Å³ per atom

a = 6.191 Å, b = 6.191 Å, c = 6.191 Å
α = 102.05°, β = 102.05°, γ = 125.63°
Sites, in units of the cell vectors:
Tl (0.000, 0.000, 0.000)
Tl (0.750, 0.250, 0.500)
Ag (0.135, 0.625, 0.010)
Ag (0.375, 0.385, 0.510)
Ag (0.615, 0.125, 0.990)
Ag (0.875, 0.865, 0.490)
Mo (0.250, 0.750, 0.500)
Mo (0.500, 0.500, 0.000)

---

d.
## TlAg2Mo (PBE)

Data for a relaxed structure of TlAg2Mo.

- Symmetry: R3m
- Crystal system: trigonal
- Calculated volume: 19.08 Å³ per atom

a = 9.926 Å, b = 9.926 Å, c = 9.926 Å
α = 17.40°, β = 17.40°, γ = 17.40°
Sites, in units of the cell vectors:
Tl (0.000, 0.000, 0.000)
Ag (0.244, 0.244, 0.244)
Ag (0.497, 0.497, 0.497)
Mo (0.752, 0.752, 0.752)

---

Stability check: which of them is most stable? d.

---

a.
## TlAg2Mo (PBE)

Data for a relaxed structure of TlAg2Mo.

- Symmetry: Pm
- Crystal system: monoclinic
- Calculated volume: 19.02 Å³ per atom

a = 2.896 Å, b = 4.473 Å, c = 6.049 Å
α = 90.00°, β = 103.81°, γ = 90.00°
Sites, in units of the cell vectors:
Tl (0.000, 0.000, 0.000)
Ag (0.155, 0.500, 0.303)
Ag (0.759, 0.000, 0.512)
Mo (0.394, 0.500, 0.786)

---

b.
## TlAg2Mo (PBE)

Data for a relaxed structure of TlAg2Mo.

- Symmetry: Cmmm
- Crystal system: orthorhombic
- Calculated volume: 18.92 Å³ per atom

a = 5.462 Å, b = 5.462 Å, c = 2.831 Å
α = 90.00°, β = 90.00°, γ = 116.35°
Sites, in units of the cell vectors:
Tl (0.000, 0.000, 0.000)
Ag (0.000, 0.500, 0.500)
Ag (0.500, 0.000, 0.500)
Mo (0.500, 0.500, 0.000)

---

Stability check: which of them is most stable? b.

---

a.
## TlAg2Mo (PBE)

Data for a relaxed structure of TlAg2Mo.

- Symmetry: R-3m
- Crystal system: trigonal
- Calculated volume: 19.46 Å³ per atom

a = 10.245 Å, b = 10.245 Å, c = 10.245 Å
α = 16.74°, β = 16.74°, γ = 16.74°
Sites, in units of the cell vectors:
Tl (0.000, 0.000, 0.000)
Ag (0.244, 0.244, 0.244)
Ag (0.756, 0.756, 0.756)
Mo (0.500, 0.500, 0.500)

---

b.
## TlAg2Mo (PBE)

Data for a relaxed structure of TlAg2Mo.

- Symmetry: Fm-3m
- Crystal system: cubic
- Calculated volume: 19.22 Å³ per atom

a = 4.773 Å, b = 4.773 Å, c = 4.773 Å
α = 60.00°, β = 60.00°, γ = 60.00°
Sites, in units of the cell vectors:
Tl (0.000, 0.000, 0.000)
Ag (0.250, 0.250, 0.250)
Ag (0.750, 0.750, 0.750)
Mo (0.500, 0.500, 0.500)

---

Stability check: which of them is most stable? a.

---

a.
## V2AgMo (PBE)

Data for a relaxed structure of V2AgMo.

- Symmetry: P4/mmm
- Crystal system: tetragonal
- Calculated volume: 15.28 Å³ per atom

a = 3.140 Å, b = 3.140 Å, c = 6.200 Å
α = 90.00°, β = 90.00°, γ = 90.00°
Sites, in units of the cell vectors:
V (0.000, 0.000, 0.222)
V (0.000, 0.000, 0.778)
Ag (0.500, 0.500, 0.500)
Mo (0.500, 0.500, 0.000)

---

b.
## V2AgMo (PBE)

Data for a relaxed structure of V2AgMo.

- Symmetry: I-42d
- Crystal system: tetragonal
- Calculated volume: 16.30 Å³ per atom

a = 5.601 Å, b = 5.601 Å, c = 5.601 Å
α = 103.62°, β = 103.62°, γ = 121.93°
Sites, in units of the cell vectors:
V (0.107, 0.625, 0.982)
V (0.375, 0.357, 0.482)
V (0.643, 0.125, 0.018)
V (0.875, 0.893, 0.518)
Ag (0.250, 0.750, 0.500)
Ag (0.500, 0.500, 0.000)
Mo (0.000, 0.000, 0.000)
Mo (0.750, 0.250, 0.500)

---

c.
## V2AgMo (PBE)

Data for a relaxed structure of V2AgMo.

- Symmetry: Fm-3m
- Crystal system: cubic
- Calculated volume: 15.10 Å³ per atom

a = 4.404 Å, b = 4.404 Å, c = 4.404 Å
α = 60.00°, β = 60.00°, γ = 60.00°
Sites, in units of the cell vectors:
V (0.250, 0.250, 0.250)
V (0.750, 0.750, 0.750)
Ag (0.000, 0.000, 0.000)
Mo (0.500, 0.500, 0.500)

---

Stability check: which of them is most stable? a.

---

a.
## VAgMo2 (PBE)

Data for a relaxed structure of VAgMo2.

- Symmetry: Fm-3m
- Crystal system: cubic
- Calculated volume: 15.74 Å³ per atom

a = 4.466 Å, b = 4.466 Å, c = 4.466 Å
α = 60.00°, β = 60.00°, γ = 60.00°
Sites, in units of the cell vectors:
V (0.000, 0.000, 0.000)
Ag (0.500, 0.500, 0.500)
Mo (0.250, 0.250, 0.250)
Mo (0.750, 0.750, 0.750)

---

b.
## VAgMo2 (PBE)

Data for a relaxed structure of VAgMo2.

- Symmetry: I-42d
- Crystal system: tetragonal
- Calculated volume: 17.13 Å³ per atom

a = 9.965 Å, b = 9.965 Å, c = 9.965 Å
α = 158.14°, β = 158.14°, γ = 31.10°
Sites, in units of the cell vectors:
V (0.000, 0.000, 0.000)
V (0.750, 0.250, 0.500)
Ag (0.250, 0.750, 0.500)
Ag (0.500, 0.500, 0.000)
Mo (0.099, 0.625, 0.974)
Mo (0.375, 0.349, 0.474)
Mo (0.651, 0.125, 0.026)
Mo (0.875, 0.901, 0.526)

---

Stability check: which of them is most stable? a.